[1]
# PBE-GGA AlBIr, optimized geometry
data_AlBIr
_space_group_name_H-M_alt 'F -4 3 m'
_space_group_IT_number 216
_space_group_name_Hall 'F -4 2 3'
_cell_length_a 5.4685
_cell_length_b 5.4685
_cell_length_c 5.4685
_cell_angle_alpha 90.00
_cell_angle_beta 90.00
_cell_angle_gamma 90.00
loop_
_atom_site_label
_atom_site_type_symbol
_atom_site_fract_x
_atom_site_fract_y
_atom_site_fract_z
_atom_site_occupancy
Al1 Al 0.0000 0.0000 0.0000 1
B1 B 0.2500 0.2500 0.7500 1
Ir1 Ir 0.2500 0.2500 0.2500 1
# V: 13.63 Å³ per atom
# electronic total energy: -17.7 eV per formula unit

[2]
# PBE-GGA AlB3Ir4, optimized geometry
data_AlB3Ir4
_space_group_name_H-M_alt 'P m m m'
_space_group_IT_number 47
_space_group_name_Hall '-P 2 2'
_cell_length_a 2.8061
_cell_length_b 2.8478
_cell_length_c 23.3225
_cell_angle_alpha 90.00
_cell_angle_beta 90.00
_cell_angle_gamma 90.00
loop_
_atom_site_label
_atom_site_type_symbol
_atom_site_fract_x
_atom_site_fract_y
_atom_site_fract_z
_atom_site_occupancy
Al1 Al 0.0000 0.0000 0.0000 1
Al2 Al 0.5000 0.0000 0.5000 1
B1 B 0.0000 0.0000 0.1224 1
B2 B 0.0000 0.5000 0.2398 1
B3 B 0.5000 0.0000 0.3767 1
Ir1 Ir 0.0000 0.0000 0.3077 1
Ir2 Ir 0.0000 0.5000 0.4203 1
Ir3 Ir 0.5000 0.0000 0.1956 1
Ir4 Ir 0.5000 0.5000 0.0808 1
# V: 11.65 Å³ per atom
# electronic total energy: -62.0 eV per formula unit

[3]
# PBE-GGA La2AlB2Os2, optimized geometry
data_La2AlB2Os2
_space_group_name_H-M_alt 'C 1 2/c 1'
_space_group_IT_number 15
_space_group_name_Hall '-C 2yc'
_cell_length_a 16.6960
_cell_length_b 6.0917
_cell_length_c 10.4194
_cell_angle_alpha 90.00
_cell_angle_beta 113.80
_cell_angle_gamma 90.00
loop_
_atom_site_label
_atom_site_type_symbol
_atom_site_fract_x
_atom_site_fract_y
_atom_site_fract_z
_atom_site_occupancy
La1 La 0.0552 0.0990 0.1670 1
La2 La 0.2457 0.1688 0.8491 1
Al1 Al 0.0724 0.4030 0.6008 1
B1 B 0.1121 0.1186 0.9411 1
B2 B 0.1924 0.4050 0.3815 1
Os1 Os 0.0775 0.4263 0.8682 1
Os2 Os 0.1715 0.1693 0.5165 1
# V: 17.31 Å³ per atom
# electronic total energy: -52.7 eV per formula unit

[4]
# PBE-GGA LuAlB14, optimized geometry
data_LuAlB14
_space_group_name_H-M_alt 'I m m a'
_space_group_IT_number 74
_space_group_name_Hall '-I 2b 2'
_cell_length_a 5.8927
_cell_length_b 10.4018
_cell_length_c 8.1751
_cell_angle_alpha 90.00
_cell_angle_beta 90.00
_cell_angle_gamma 90.00
loop_
_atom_site_label
_atom_site_type_symbol
_atom_site_fract_x
_atom_site_fract_y
_atom_site_fract_z
_atom_site_occupancy
Lu1 Lu 0.0000 0.2500 0.1525 1
Al1 Al 0.2500 0.2500 0.7500 1
B1 B 0.0000 0.0898 0.6683 1
B2 B 0.0000 0.1448 0.8764 1
B3 B 0.0000 0.1674 0.4662 1
B4 B 0.1629 0.0620 0.3373 1
B5 B 0.2476 0.0802 0.5480 1
# V: 7.83 Å³ per atom
# electronic total energy: -104.3 eV per formula unit

[5]
# PBE-GGA Lu4AlB3, optimized geometry
data_Lu4AlB3
_space_group_name_H-M_alt 'P 63/m m c'
_space_group_IT_number 194
_space_group_name_Hall '-P 6c 2c'
_cell_length_a 3.4530
_cell_length_b 3.4530
_cell_length_c 29.7985
_cell_angle_alpha 90.00
_cell_angle_beta 90.00
_cell_angle_gamma 120.00
loop_
_atom_site_label
_atom_site_type_symbol
_atom_site_fract_x
_atom_site_fract_y
_atom_site_fract_z
_atom_site_occupancy
Lu1 Lu 0.0000 0.0000 0.1656 1
Lu2 Lu 0.3333 0.6667 0.0559 1
Al1 Al 0.3333 0.6667 0.2500 1
B1 B 0.0000 0.0000 0.0000 1
B2 B 0.3333 0.6667 0.6141 1
# V: 19.23 Å³ per atom
# electronic total energy: -41.1 eV per formula unit

[6]
# PBE-GGA LuAlB, optimized geometry
data_LuAlB
_space_group_name_H-M_alt 'F -4 3 m'
_space_group_IT_number 216
_space_group_name_Hall 'F -4 2 3'
_cell_length_a 6.1767
_cell_length_b 6.1767
_cell_length_c 6.1767
_cell_angle_alpha 90.00
_cell_angle_beta 90.00
_cell_angle_gamma 90.00
loop_
_atom_site_label
_atom_site_type_symbol
_atom_site_fract_x
_atom_site_fract_y
_atom_site_fract_z
_atom_site_occupancy
Lu1 Lu 0.0000 0.0000 0.0000 1
Al1 Al 0.2500 0.2500 0.7500 1
B1 B 0.2500 0.2500 0.2500 1
# V: 19.64 Å³ per atom
# electronic total energy: -12.3 eV per formula unit

- What is the formula in the second record?
  AlB3Ir4